--- A ---
{
  "formula": "ZrRhW2",
  "functional": "PBE",
  "state": "optimized geometry",
  "lattice": [[2.938, 0.000, 0.000], [0.000, 3.624, 0.000], [0.000, 0.000, 6.452]],
  "species": ["Zr", "Rh", "W", "W"],
  "fractional_positions": [[0.000, 0.000, 0.000], [0.000, 0.000, 0.500], [0.500, 0.500, 0.272], [0.500, 0.500, 0.728]],
  "dos_ef_per_ev_fu": 3.919
}


--- B ---
{
  "formula": "ZrRhW2",
  "functional": "PBE",
  "state": "optimized geometry",
  "lattice": [[2.798, 0.000, 0.000], [0.000, 4.763, 0.000], [-0.920, 0.000, 5.072]],
  "species": ["Zr", "Rh", "W", "W"],
  "fractional_positions": [[0.000, 0.000, 0.000], [0.500, 0.000, 0.500], [0.258, 0.500, 0.752], [0.742, 0.500, 0.248]],
  "dos_ef_per_ev_fu": 3.145
}


--- C ---
{
  "formula": "ZrRhW2",
  "functional": "PBE",
  "state": "optimized geometry",
  "lattice": [[2.813, 0.000, 0.000], [0.000, 2.813, 0.000], [0.000, 0.000, 8.589]],
  "species": ["Zr", "Rh", "W", "W"],
  "fractional_positions": [[0.000, 0.000, 0.000], [0.500, 0.500, 0.251], [0.000, 0.000, 0.462], [0.500, 0.500, 0.719]],
  "dos_ef_per_ev_fu": 3.110
}


--- D ---
{
  "formula": "ZrRhW2",
  "functional": "PBE",
  "state": "optimized geometry",
  "lattice": [[7.584, 0.000, 0.000], [0.000, 7.584, 0.000], [0.000, 0.000, 5.178]],
  "species": ["Zr", "Zr", "Zr", "Zr", "Rh", "Rh", "Rh", "Rh", "W", "W", "W", "W", "W", "W", "W", "W"],
  "fractional_positions": [[0.000, 0.000, 0.000], [0.000, 0.500, 0.250], [0.500, 0.000, 0.750], [0.500, 0.500, 0.500], [0.000, 0.000, 0.500], [0.000, 0.500, 0.750], [0.500, 0.000, 0.250], [0.500, 0.500, 0.000], [0.216, 0.750, 0.625], [0.250, 0.216, 0.375], [0.250, 0.284, 0.875], [0.284, 0.750, 0.125], [0.716, 0.250, 0.125], [0.750, 0.716, 0.875], [0.750, 0.784, 0.375], [0.784, 0.250, 0.625]],
  "dos_ef_per_ev_fu": 2.845
}


Relative calculated energies, zero for the most stable structure, unit meV/atom: A 213; B 23; C 0; D 514.


--- A ---
{
  "formula": "Y4Rh5",
  "functional": "PBE",
  "state": "optimized geometry",
  "lattice": [[8.277, 0.000, 0.000], [-4.139, 7.168, 0.000], [0.000, 0.000, 5.995]],
  "species": ["Y", "Y", "Y", "Y", "Y", "Y", "Y", "Y", "Rh", "Rh", "Rh", "Rh", "Rh", "Rh", "Rh", "Rh", "Rh", "Rh"],
  "fractional_positions": [[0.000, 0.000, 0.000], [0.000, 0.000, 0.500], [0.000, 0.380, 0.250], [0.000, 0.620, 0.750], [0.380, 0.000, 0.250], [0.380, 0.380, 0.750], [0.620, 0.000, 0.750], [0.620, 0.620, 0.250], [0.000, 0.296, 0.750], [0.000, 0.704, 0.250], [0.296, 0.000, 0.750], [0.296, 0.296, 0.250], [0.333, 0.667, 0.000], [0.333, 0.667, 0.500], [0.667, 0.333, 0.000], [0.667, 0.333, 0.500], [0.704, 0.000, 0.250], [0.704, 0.704, 0.750]],
  "dos_ef_per_ev_fu": 6.283
}


--- B ---
{
  "formula": "Y4Rh5",
  "functional": "PBE",
  "state": "optimized geometry",
  "lattice": [[-4.684, 4.684, 2.087], [4.684, -4.684, 2.087], [4.684, 4.684, -2.087]],
  "species": ["Y", "Y", "Y", "Y", "Rh", "Rh", "Rh", "Rh", "Rh"],
  "fractional_positions": [[0.000, 0.284, 0.284], [0.000, 0.716, 0.716], [0.284, 0.000, 0.284], [0.716, 0.000, 0.716], [0.000, 0.000, 0.000], [0.337, 0.337, 0.674], [0.337, 0.663, 0.000], [0.663, 0.337, 0.000], [0.663, 0.663, 0.326]],
  "dos_ef_per_ev_fu": 6.220
}


Relative calculated energies, zero for the most stable structure, unit meV/atom: A 17; B 0.